The following is a DFT calculation (GGA-PBE) of a relaxed EuGdAgPd crystal.

a b c (Å): 5.1588 5.1588 5.1588
angles (deg): 60.00 60.00 60.00
With the nearest neighbours (Å) after each atom.
Sites, in units of the cell vectors:
Eu1 0.0000 0.0000 0.0000  4 Ag 3.16, 4 Pd 3.16
Gd1 0.5000 0.5000 0.5000  4 Pd 3.16, 4 Ag 3.16
Ag1 0.2500 0.2500 0.2500  4 Gd 3.16, 4 Eu 3.16
Pd1 0.7500 0.7500 0.7500  4 Gd 3.16, 4 Eu 3.16

Computed properties:
ΔH_f (0 K) = -1.94 eV/f.u.
Crystal system = cubic